No. 1
## HoZnSn3 (PBE-GGA)

Data for an optimized crystal structure of HoZnSn3.

Lattice parameters (Å, degrees): 6.1871 6.2270 12.5425 90.00 90.00 90.00
With the nearest neighbours (Å) after each atom.
Positions (direct):
Sn 0.5000 0.7500 0.4995  4 Sn 3.09-3.11, 4 Ho 3.25-3.31
Sn 0.5000 0.2500 0.5005  4 Sn 3.09-3.11, 4 Ho 3.25-3.31
Sn 0.2500 0.6517 0.0634  4 Zn 2.85-3.03, 1 Sn 3.16
Zn 0.5000 0.2500 0.1211  6 Sn 2.83-3.03, 2 Zn 3.09, 2 Ho 3.16
Zn 0.0000 0.7500 0.8789  6 Sn 2.83-3.03, 2 Zn 3.09, 2 Ho 3.16
Sn 0.7500 0.3483 0.9366  4 Zn 2.85-3.03, 1 Sn 3.16
Sn 0.0000 0.2500 0.5005  4 Sn 3.09-3.11, 4 Ho 3.25-3.31
Sn 0.7500 0.0190 0.7448  2 Zn 2.83, 3 Ho 3.13-3.16, 1 Sn 3.16
Sn 0.2500 0.1517 0.9366  4 Zn 2.85-3.03, 1 Sn 3.16
Ho 0.7500 0.0106 0.3056  9 Sn 3.13-3.31, 2 Zn 3.16
Sn 0.0000 0.7500 0.4995  4 Sn 3.09-3.11, 4 Ho 3.25-3.31
Ho 0.2500 0.4894 0.3056  9 Sn 3.13-3.31, 2 Zn 3.16
Ho 0.7500 0.5106 0.6944  9 Sn 3.13-3.31, 2 Zn 3.16
Sn 0.2500 0.9810 0.2552  2 Zn 2.83, 3 Ho 3.13-3.16, 1 Sn 3.16
Sn 0.7500 0.5190 0.2552  2 Zn 2.83, 3 Ho 3.13-3.16, 1 Sn 3.16
Zn 0.0000 0.2500 0.1211  6 Sn 2.83-3.03, 2 Zn 3.09, 2 Ho 3.16
Ho 0.2500 0.9894 0.6944  9 Sn 3.13-3.31, 2 Zn 3.16
Sn 0.7500 0.8483 0.0634  4 Zn 2.85-3.03, 1 Sn 3.16
Sn 0.2500 0.4810 0.7448  2 Zn 2.83, 3 Ho 3.13-3.16, 1 Sn 3.16
Zn 0.5000 0.7500 0.8789  6 Sn 2.83-3.03, 2 Zn 3.09, 2 Ho 3.16

The value obtained for the theoretical density is 8.06 Mg/m³. Its energy is -3.89 eV/atom. The value obtained for the density of states at the Fermi level is 1.5 states/eV/f.u. As for the space-group type: Pbcm.

No. 2
## Ho2ZnSn4 (PBE-GGA)

Data for an optimized crystal structure of Ho2ZnSn4.

Lattice parameters (Å, degrees): 4.4356 4.4356 9.0550 90.00 90.00 90.00
With the nearest neighbours (Å) after each atom.
Positions (direct):
Sn 0.0000 0.0000 0.5000  4 Sn 3.14, 4 Ho 3.32
Sn 0.0000 0.5000 0.8240  2 Zn 2.73
Sn 0.5000 0.0000 0.1760  2 Zn 2.73
Ho 0.5000 0.0000 0.7735  2 Zn 3.02, 8 Sn 3.17-3.32
Sn 0.5000 0.5000 0.5000  4 Sn 3.14, 4 Ho 3.32
Ho 0.0000 0.5000 0.2265  2 Zn 3.02, 8 Sn 3.17-3.32
Zn 0.5000 0.5000 0.0000  4 Sn 2.73, 4 Ho 3.02

The value obtained for the theoretical density is 8.11 Mg/m³. Its energy is -4.19 eV/atom. The value obtained for the density of states at the Fermi level is 3.0 states/eV/f.u. As for the space-group type: P-4m2.

No. 3
## HoZn2Sn (PBE-GGA)

Data for an optimized crystal structure of HoZn2Sn.

Lattice parameters (Å, degrees): 3.2949 3.2949 10.7044 81.15 81.15 60.00
With the nearest neighbours (Å) after each atom.
Positions (direct):
Zn 0.4069 0.4069 0.7794  1 Ho 2.94, 3 Sn 3.00, 6 Zn 3.29
Zn 0.5931 0.5931 0.2206  1 Ho 2.94, 3 Sn 3.00, 6 Zn 3.29
Ho 0.5000 0.5000 0.5000  2 Zn 2.94, 6 Ho 3.29
Sn 0.0000 0.0000 0.0000  6 Zn 3.00, 6 Sn 3.29

The value obtained for the theoretical density is 6.95 Mg/m³. Its energy is -2.48 eV/atom. The value obtained for the density of states at the Fermi level is 3.2 states/eV/f.u. As for the space-group type: R-3m.

No. 4
## Ho2ZnSn (PBE-GGA)

Data for an optimized crystal structure of Ho2ZnSn.

Lattice parameters (Å, degrees): 3.4647 3.4647 10.9410 80.89 80.89 60.00
With the nearest neighbours (Å) after each atom.
Positions (direct):
Zn 0.5000 0.5000 0.5000  6 Ho 3.01
Ho 0.0970 0.0970 0.7090  3 Zn 3.01, 1 Sn 3.13
Sn 0.0000 0.0000 0.0000  2 Ho 3.13, 6 Sn 3.46
Ho 0.9030 0.9030 0.2910  3 Zn 3.01, 1 Sn 3.13

The value obtained for the theoretical density is 7.63 Mg/m³. Its energy is -3.62 eV/atom. The value obtained for the density of states at the Fermi level is 4.7 states/eV/f.u. As for the space-group type: R-3m.

No. 5
## HoZn2Sn (PBE-GGA)

Data for an optimized crystal structure of HoZn2Sn.

Lattice parameters (Å, degrees): 4.3901 4.3347 4.3347 90.00 90.00 90.00
With the nearest neighbours (Å) after each atom.
Positions (direct):
Sn 0.5000 0.5000 0.5000  4 Ho 3.07, 8 Zn 3.08
Zn 0.0000 0.0000 0.5000  4 Zn 3.07, 4 Ho 3.08, 4 Sn 3.08
Ho 0.5000 0.0000 0.0000  4 Sn 3.07, 8 Zn 3.08
Zn 0.0000 0.5000 0.0000  4 Zn 3.07, 4 Sn 3.08, 4 Ho 3.08

The value obtained for the theoretical density is 8.34 Mg/m³. Its energy is -3.17 eV/atom. The value obtained for the density of states at the Fermi level is 1.5 states/eV/f.u. As for the space-group type: P4/mmm.

No. 6
## Ho3Zn9Sn2 (PBE-GGA)

Data for an optimized crystal structure of Ho3Zn9Sn2.

Lattice parameters (Å, degrees): 4.2901 8.3279 8.3279 73.50 75.07 75.07
With the nearest neighbours (Å) after each atom.
Positions (direct):
Zn 0.3382 0.0395 0.2840  4 Zn 2.44-2.58, 1 Sn 2.68
Ho 0.6965 0.3035 0.3035  12 Zn 3.05-3.28, 2 Sn 3.21
Zn 0.1555 0.1108 0.5782  3 Zn 2.56-2.58
Zn 0.6618 0.9605 0.7160  4 Zn 2.44-2.58, 1 Sn 2.68
Sn 0.5000 0.2966 0.7034  8 Zn 2.68-2.95
Ho 0.3035 0.6965 0.6965  12 Zn 3.05-3.28, 2 Sn 3.21
Zn 0.1555 0.5782 0.1108  3 Zn 2.56-2.58
Sn 0.5000 0.7034 0.2966  8 Zn 2.68-2.95
Zn 0.6618 0.7160 0.9605  4 Zn 2.44-2.58, 1 Sn 2.68
Zn 0.0000 0.5000 0.5000  4 Sn 2.95, 4 Zn 3.05, 4 Ho 3.28
Zn 0.8445 0.8892 0.4218  3 Zn 2.56-2.58
Zn 0.3382 0.2840 0.0395  4 Zn 2.44-2.58, 1 Sn 2.68
Zn 0.8445 0.4218 0.8892  3 Zn 2.56-2.58
Ho 0.0000 0.0000 0.0000  12 Zn 3.20-3.30

The value obtained for the theoretical density is 8.12 Mg/m³. Its energy is -2.70 eV/atom. The value obtained for the density of states at the Fermi level is 6.5 states/eV/f.u. As for the space-group type: Immm.

No. 7
## HoZn4Sn (PBE-GGA)

Data for an optimized crystal structure of HoZn4Sn.

Lattice parameters (Å, degrees): 5.4583 5.4583 5.4583 60.00 60.00 60.00
With the nearest neighbours (Å) after each atom.
Positions (direct):
Zn 0.6246 0.1262 0.6246  6 Zn 2.72-2.74
Zn 0.6246 0.6246 0.1262  6 Zn 2.72-2.74
Sn 0.0000 0.0000 0.0000  12 Zn 3.20, 4 Ho 3.34
Zn 0.6246 0.6246 0.6246  6 Zn 2.72-2.74
Ho 0.2500 0.2500 0.2500  12 Zn 3.20, 4 Sn 3.34
Zn 0.1262 0.6246 0.6246  6 Zn 2.72-2.74

The value obtained for the theoretical density is 7.87 Mg/m³. Its energy is -2.44 eV/atom. The value obtained for the density of states at the Fermi level is 2.4 states/eV/f.u. As for the space-group type: F-43m.

No. 8
## Ho3ZnSn3 (PBE-GGA)

Data for an optimized crystal structure of Ho3ZnSn3.

Lattice parameters (Å, degrees): 4.4275 6.0759 14.3258 82.74 81.11 68.63
With the nearest neighbours (Å) after each atom.
Positions (direct):
Sn 0.8737 0.1770 0.0756  2 Sn 3.00-3.04, 5 Ho 3.08-3.15
Sn 0.1263 0.8230 0.9244  2 Sn 3.00-3.04, 5 Ho 3.08-3.15
Sn 0.0054 0.2185 0.7707  1 Zn 2.75, 1 Sn 3.00
Ho 0.4840 0.6529 0.3791  6 Sn 3.11-3.30, 3 Zn 3.26-3.27
Ho 0.6007 0.7199 0.0787  7 Sn 3.08-3.40
Ho 0.7318 0.7665 0.7699  2 Zn 3.10, 6 Sn 3.10-3.38
Zn 0.7745 0.0762 0.3747  4 Sn 2.72-2.90
Zn 0.2255 0.9238 0.6253  4 Sn 2.72-2.90
Sn 0.1463 0.2504 0.4569  3 Zn 2.72-2.90
Sn 0.8537 0.7496 0.5431  3 Zn 2.72-2.90
Ho 0.2682 0.2335 0.2301  2 Zn 3.10, 6 Sn 3.10-3.38
Sn 0.9946 0.7815 0.2293  1 Zn 2.75, 1 Sn 3.00
Ho 0.3993 0.2801 0.9213  7 Sn 3.08-3.40
Ho 0.5160 0.3471 0.6209  6 Sn 3.11-3.30, 3 Zn 3.26-3.27

The value obtained for the theoretical density is 8.61 Mg/m³. As for the relative energy among the computed polymorphs: 0 meV per atom. The value obtained for the density of states at the Fermi level is 4.1 states/eV/f.u. As for the space-group type: C2/m.

No. 9
## Ho7Zn2Sn2 (PBE-GGA)

Data for an optimized crystal structure of Ho7Zn2Sn2.

Lattice parameters (Å, degrees): 6.8283 7.1926 6.8283 90.00 108.78 90.00
With the nearest neighbours (Å) after each atom.
Positions (direct):
Ho 0.5000 0.2716 0.0000  2 Zn 2.82
Sn 0.1824 0.5000 0.1824  1 Sn 2.90, 2 Ho 3.15
Ho 0.5000 0.2389 0.5000  2 Zn 2.92, 2 Sn 3.15
Ho 0.5000 0.7284 0.0000  2 Zn 2.82
Ho 0.0000 0.2716 0.5000  2 Zn 2.82
Ho 0.0000 0.7284 0.5000  2 Zn 2.82
Ho 0.5000 0.7611 0.5000  2 Zn 2.92, 2 Sn 3.15
Ho 0.0000 0.0000 0.0000  2 Zn 3.19
Zn 0.2873 0.0000 0.7127  6 Ho 2.82-2.92
Zn 0.7127 0.0000 0.2873  6 Ho 2.82-2.92
Sn 0.8176 0.5000 0.8176  1 Sn 2.90, 2 Ho 3.15

The value obtained for the theoretical density is 7.96 Mg/m³. Its energy is -4.00 eV/atom. The value obtained for the density of states at the Fermi level is 13.6 states/eV/f.u. As for the space-group type: Cmmm.

No. 10
## HoZnSn2 (PBE-GGA)

Data for an optimized crystal structure of HoZnSn2.

Lattice parameters (Å, degrees): 4.7267 4.7267 5.7542 65.75 65.75 60.00
With the nearest neighbours (Å) after each atom.
Positions (direct):
Sn 0.7718 0.7718 0.6845  3 Zn 2.88, 3 Ho 3.16
Sn 0.2282 0.2282 0.3155  3 Zn 2.88, 3 Ho 3.16
Ho 0.0000 0.0000 0.0000  8 Sn 3.16-3.47
Zn 0.5000 0.5000 0.5000  6 Sn 2.88

The value obtained for the theoretical density is 7.92 Mg/m³. Its energy is -3.65 eV/atom. The value obtained for the density of states at the Fermi level is 1.9 states/eV/f.u. As for the space-group type: R-3m.

No. 11
## HoZnSn2 (PBE-GGA)

Data for an optimized crystal structure of HoZnSn2.

Lattice parameters (Å, degrees): 4.3770 4.6106 4.6106 90.00 90.00 90.00
With the nearest neighbours (Å) after each atom.
Positions (direct):
Sn 0.0000 0.5000 0.0000  4 Ho 3.18, 4 Zn 3.18, 4 Sn 3.26
Ho 0.5000 0.5000 0.5000  8 Sn 3.18, 4 Zn 3.26
Zn 0.5000 0.0000 0.0000  8 Sn 3.18, 4 Ho 3.26
Sn 0.0000 0.0000 0.5000  4 Ho 3.18, 4 Zn 3.18, 4 Sn 3.26

The value obtained for the theoretical density is 8.35 Mg/m³. Its energy is -3.87 eV/atom. The value obtained for the density of states at the Fermi level is 1.3 states/eV/f.u. As for the space-group type: P4/mmm.

No. 12
## Ho8Zn2Sn (PBE-GGA)

Data for an optimized crystal structure of Ho8Zn2Sn.

Lattice parameters (Å, degrees): 5.0115 7.1929 9.2111 107.92 105.79 90.00
With the nearest neighbours (Å) after each atom.
Positions (direct):
Ho 0.0312 0.7598 0.0624  1 Zn 2.92, 2 Sn 3.19
Ho 0.6731 0.9659 0.3463  1 Zn 2.84, 1 Sn 3.16
Zn 0.1870 0.7012 0.3739  5 Ho 2.84-3.18
Ho 0.3269 0.0341 0.6537  1 Zn 2.84, 1 Sn 3.16
Ho 0.8034 0.6899 0.6068  1 Zn 2.87
Ho 0.5932 0.4651 0.1863  2 Zn 3.18, 1 Sn 3.22, 7 Ho 3.39-3.56
Sn 0.5000 0.0000 0.0000  8 Ho 3.16-3.22
Ho 0.4068 0.5349 0.8137  2 Zn 3.18, 1 Sn 3.22, 7 Ho 3.39-3.56
Zn 0.8130 0.2988 0.6261  5 Ho 2.84-3.18
Ho 0.9688 0.2402 0.9376  1 Zn 2.92, 2 Sn 3.19
Ho 0.1966 0.3101 0.3932  1 Zn 2.87

The value obtained for the theoretical density is 8.61 Mg/m³. Its energy is -4.14 eV/atom. The value obtained for the density of states at the Fermi level is 10.5 states/eV/f.u. As for the space-group type: C2/m.

Q: Look up the theoretical density of the ninth one.
A: 7.96 Mg/m³

Q: Number 12 is which compound?
A: Ho8Zn2Sn

Q: theoretical density of number 7 (HoZn4Sn)?
A: 7.87 Mg/m³